First-principles (PBE with a Hubbard U) data for an optimized crystal structure of Na4Co3AsO8, as listed in Alexandria via LeMat-Bulk.

```
Na4Co3AsO8
1.0
3.009 1.737 5.318
-3.009 1.737 5.318
0.000 -3.474 5.318
Na Co As O
4 3 1 8
Direct
0.000 0.000 0.000 Na
0.000 0.500 0.500 Na
0.500 0.000 0.500 Na
0.500 0.500 0.000 Na
0.000 0.000 0.500 Co
0.000 0.500 0.000 Co
0.500 0.000 0.000 Co
0.500 0.500 0.500 As
0.211 0.743 0.743 O
0.230 0.230 0.230 O
0.257 0.257 0.789 O
0.257 0.789 0.257 O
0.743 0.211 0.743 O
0.743 0.743 0.211 O
0.770 0.770 0.770 O
0.789 0.257 0.257 O
```

Energy   -5.238 eV per atom
Crystal system   trigonal
Symmetry   R-3m, No. 166